1.
BaCa2Os | GGA-PBE | relaxed

The energy above the most stable polymorph in this dataset comes out at 249 meV/atom.

The space group is R3m (No. 160, hexagonal axes) and the conventional cell measures 3.8150, 3.8150 and 33.6144 Å, with angles of 90.00, 90.00 and 120.00 degrees. The inequivalent atoms are Ba at (0.0000, 0.0000, 0.0000), Ca at (0.0000, 0.0000, 0.5475), Ca at (0.0000, 0.0000, 0.7788) and Os at (0.0000, 0.0000, 0.2705).



2.
Dy2Ho3Tl4 | GGA-PBE | relaxed

Its total energy is -34.09 eV per formula unit.

The space group is Cmce (No. 64) and the conventional cell measures 7.1580, 15.8813 and 9.3364 Å, with angles of 90.00, 90.00 and 90.00 degrees. The inequivalent atoms are Dy at (0.0000, 0.1100, 0.0654), Ho at (0.0000, 0.0000, 0.5000), Ho at (0.2500, 0.2112, 0.7500), Tl at (0.0000, 0.1916, 0.4629) and Tl at (0.2500, 0.0173, 0.7500).